No. 1
Density functional theory data (GGA-PBE) for a relaxed Cd2FeNi crystal.

## Properties
Calculated formation energy ... 0.32 eV per atom
ΔE to the lowest computed polymorph ... 202 meV/atom
M_tot ... 3.13 μB/f.u.
VASP energy ... -3.69 eV per atom

extended XYZ file:
```
4
Lattice="4.8327 0.0019 0.0086 3.9864 2.7320 0.0086 0.9093 0.2819 4.8980" Properties=species:S:1:pos:R:3 pbc="T T T"
Cd 8.7856 2.7235 0.0366
Cd 4.8978 1.5183 2.4382
Fe 7.2964 2.2618 3.6864
Ni 2.4321 0.7539 1.2288
```

---

No. 2
Density functional theory data (GGA-PBE) for a relaxed CdFeNi2 crystal.

## Properties
Calculated formation energy ... 0.25 eV per atom
M_tot ... 3.43 μB/f.u.
VASP energy ... -4.99 eV per atom

extended XYZ file:
```
4
Lattice="-0.3801 -1.7859 3.8220 -3.3866 -2.3802 0.8981 0.4123 -4.1938 0.4285" Properties=species:S:1:pos:R:3 pbc="T T T"
Cd -1.6772 -4.1800 2.5743
Fe -2.5158 -6.2699 3.8614
Ni 0.0000 0.0000 0.0000
Ni -0.8386 -2.0900 1.2871
```